1.
## YCu2Os (PBE)

Data for an optimized crystal structure of YCu2Os.

## Properties
SG: F-43m
Energy of formation from the pure elements in meV per atom: 334.2

Structure (POSCAR):
```
YCu2Os
1.0
0.000 3.214 3.214
3.214 0.000 3.214
3.214 3.214 0.000
Cu Y Os
2 1 1
Cartesian
0.000 0.000 0.000
1.607 1.607 1.607
3.213 3.213 3.213
4.820 4.820 4.820
```

2.
## HoErGa2Ag2 (PBE)

Data for an optimized crystal structure of HoErGa2Ag2.

## Properties
SG: P-6m2

Structure (POSCAR):
```
HoErGa2Ag2
1.0
-4.544 -0.541 0.146
2.613 -3.137 -2.071
0.604 -3.462 6.006
Ag Ga Er Ho
2 2 1 1
Cartesian
-2.000 -2.310 0.975
-1.711 -3.964 3.845
0.702 -4.988 3.380
0.358 -3.017 -0.038
0.000 0.000 0.000
0.302 -1.731 3.003
```

3.
## NdBiB (PBE)

Data for an optimized crystal structure of NdBiB.

## Properties
SG: F-43m
Offset from the most stable computed form in kJ/mol of formula units: 13

Structure (POSCAR):
```
NdBiB
1.0
0.000 3.296 3.296
3.296 0.000 3.296
3.296 3.296 0.000
Bi B Nd
1 1 1
Cartesian
1.648 1.648 1.648
0.000 0.000 0.000
4.943 4.943 4.943
```

4.
## PtS2 (PBE)

Data for an optimized crystal structure of PtS2.

## Properties
SG: P2_1/m

Structure (POSCAR):
```
PtS2
1.0
-1.028 1.073 3.171
3.972 -7.833 3.937
3.132 0.964 -1.242
S Pt
4 2
Cartesian
3.324 -2.117 1.796
3.926 -5.996 5.234
2.149 0.199 0.632
2.752 -3.680 4.070
0.996 -1.957 0.983
6.108 -4.912 1.711
```

Calculated total energy
In order: -23.8, -23.9, -14.6, -27.6
Unit: eV/cell